(1)
Entry from Alexandria: crystalline ErTmP2Ir5 at its relaxed geometry (PBE).

Structure (POSCAR):
```
ErTmP2Ir5
1.0
3.984 0.000 0.000
0.000 3.984 0.000
0.000 0.000 11.048
Er Tm P Ir
1 1 2 5
Direct
0.000 0.000 0.500
0.000 0.000 0.000
0.500 0.500 0.294
0.500 0.500 0.706
0.000 0.500 0.193
0.500 0.000 0.193
0.000 0.500 0.807
0.500 0.000 0.807
0.500 0.500 0.500
```

Output
Total magnetic moment = 0.0000 μB per atom
SG = P4/mmm, No. 123
ΔH_f (0 K) = -5.5 eV per formula unit

(2)
Entry from Alexandria: crystalline ErPaIr at its relaxed geometry (PBE).

Structure (POSCAR):
```
ErPaIr
1.0
4.237 0.000 0.000
2.119 5.798 -0.040
2.119 2.485 5.599
Pa Ir Er
2 2 2
Direct
0.348 0.948 0.356
0.736 0.324 0.204
0.307 0.521 0.865
0.023 0.794 0.161
0.983 0.415 0.619
0.627 0.937 0.808
```

Output
Total magnetic moment = 0.0000 μB per atom
SG = Cm, No. 8
Excess energy over the best structure of this formula in the dataset = 10 meV per atom
ΔH_f (0 K) = -1.5 eV per formula unit

(3)
Entry from Alexandria: crystalline Er5PaIr6 at its relaxed geometry (PBE).

Structure (POSCAR):
```
Er5PaIr6
1.0
1.008 2.198 4.145
-2.917 -5.266 3.501
6.850 -2.259 2.310
Pa Ir Er
1 6 5
Direct
0.000 0.000 0.000
0.840 0.754 0.320
0.840 0.246 0.320
0.500 0.238 0.000
0.500 0.762 0.000
0.160 0.754 0.680
0.160 0.246 0.680
0.668 0.500 0.665
0.329 0.000 0.342
0.000 0.500 0.000
0.671 0.000 0.658
0.332 0.500 0.335
```

Output
Total magnetic moment = 0.0000 μB per atom
SG = Cmmm, No. 65
ΔH_f (0 K) = -10.5 eV per formula unit

(4)
Entry from Alexandria: crystalline ErPaIr2 at its relaxed geometry (PBE).

Structure (POSCAR):
```
ErPaIr2
1.0
3.447 0.000 0.000
0.000 3.447 0.000
0.000 0.000 6.937
Er Pa Ir
1 1 2
Direct
0.500 0.500 0.000
0.500 0.500 0.500
0.000 0.000 0.735
0.000 0.000 0.265
```

Output
Total magnetic moment = 0.0001 μB per atom
SG = P4/mmm, No. 123
Excess energy over the best structure of this formula in the dataset = 114 meV per atom
ΔH_f (0 K) = -3.2 eV per formula unit

(5)
Entry from Alexandria: crystalline Er3PaIr4 at its relaxed geometry (PBE).

Structure (POSCAR):
```
Er3PaIr4
1.0
4.691 0.000 -1.267
-0.337 4.684 -1.248
-0.463 -0.527 7.613
Pa Ir Er
1 4 3
Direct
0.500 0.000 0.000
0.380 0.380 0.760
0.620 0.620 0.240
0.120 0.120 0.240
0.880 0.880 0.760
0.000 0.500 0.000
0.752 0.252 0.504
0.248 0.748 0.496
```

Output
Total magnetic moment = 0.0000 μB per atom
SG = I4/mmm, No. 139
ΔH_f (0 K) = -6.8 eV per formula unit

(6)
Entry from Alexandria: crystalline Er2PaIr at its relaxed geometry (PBE).

Structure (POSCAR):
```
Er2PaIr
1.0
3.503 0.000 0.000
1.751 3.033 0.000
1.751 1.011 9.548
Er Pa Ir
2 1 1
Direct
0.232 0.232 0.303
0.768 0.768 0.697
0.000 0.000 0.000
0.500 0.500 0.500
```

Output
Total magnetic moment = 0.1101 μB per atom
SG = R-3m, No. 166
ΔH_f (0 K) = -0.3 eV per formula unit

Taking the records one at a time from the top gives theoretical density values of 12868, 14213, 15358, 15765, 15468, 12404 kg/m3.